Record 1
Entry from Alexandria: PdCCl2 after structural relaxation (GGA-PBE).

Computed properties:
formation energy from raw total energies = 1297 meV per atom
D(E_F) = 1.81 states/eV/cell
final energy = -3.231 eV/atom
polymorph energy (0 for the lowest one) = 0.000 eV/atom

Cell and atoms, written as extended XYZ:
```
12
Lattice="3.255 0.000 0.000 -1.627 2.819 0.000 0.000 0.000 22.579" Properties=species:S:1:pos:R:3 pbc="T T T"
Pd 0.000 0.000 0.000
Pd 0.000 1.879 15.052
Pd 1.627 0.940 7.526
C 0.000 0.000 11.289
C 0.000 1.879 3.763
C 1.627 0.940 18.816
Cl 0.000 0.000 2.327
Cl 0.000 0.000 20.252
Cl 0.000 1.879 12.726
Cl 0.000 1.879 17.379
Cl 1.627 0.940 5.199
Cl 1.627 0.940 9.853
```



Record 2
Entry from Alexandria: SmYAg after structural relaxation (GGA-PBE).

Computed properties:
D(E_F) = 9.25 states/eV/cell
final energy = -4.786 eV/atom
energy of formation = -108 meV/atom
polymorph energy (0 for the lowest one) = 0.081 eV/atom

Cell and atoms, written as extended XYZ:
```
6
Lattice="4.806 0.000 0.000 0.000 4.806 0.000 0.000 0.000 7.551" Properties=species:S:1:pos:R:3 pbc="T T T"
Sm 1.201 1.201 0.968
Sm 3.604 3.604 6.583
Y 1.201 3.604 3.775
Y 3.604 1.201 3.775
Ag 1.201 1.201 5.619
Ag 3.604 3.604 1.931
```



Record 3
Entry from Alexandria: Ba2Ge2Pb after structural relaxation (GGA-PBE).

Computed properties:
D(E_F) = 11.81 states/eV/cell
final energy = -3.433 eV/atom
energy of formation = -75 meV/atom
polymorph energy (0 for the lowest one) = 0.465 eV/atom

Cell and atoms, written as extended XYZ:
```
10
Lattice="5.646 0.000 0.000 0.000 5.646 0.000 0.000 0.000 11.821" Properties=species:S:1:pos:R:3 pbc="T T T"
Ba 0.000 2.823 2.955
Ba 0.000 2.823 8.866
Ba 2.823 0.000 2.955
Ba 2.823 0.000 8.866
Ge 0.000 0.000 1.152
Ge 0.000 0.000 10.669
Ge 2.823 2.823 4.758
Ge 2.823 2.823 7.063
Pb 0.000 0.000 5.910
Pb 2.823 2.823 0.000
```



Record 4
Entry from Alexandria: Ti4NbV after structural relaxation (GGA-PBE).

Computed properties:
D(E_F) = 38.85 states/eV/cell
final energy = -8.352 eV/atom
energy of formation = 109 meV/atom

Cell and atoms, written as extended XYZ:
```
24
Lattice="2.848 0.000 0.000 -0.003 5.029 0.000 -1.179 -1.754 28.180" Properties=species:S:1:pos:R:3 pbc="T T T"
Ti -0.539 0.801 12.918
Ti -0.049 4.194 1.172
Ti -0.750 -0.087 19.950
Ti -0.746 1.535 22.305
Ti 1.015 4.187 5.862
Ti 0.972 0.779 8.219
Ti 0.282 1.549 27.006
Ti 0.877 3.369 12.913
Ti 0.790 -0.093 15.267
Ti 1.385 1.726 1.174
Ti 0.695 2.496 19.961
Ti 0.652 -0.912 22.318
Ti 2.412 1.740 5.875
Ti 2.417 3.362 8.230
Ti 1.716 -0.919 27.008
Ti 2.205 2.474 15.262
Nb 0.432 0.466 3.528
Nb -0.046 1.198 17.617
Nb 1.713 2.077 10.563
Nb 1.235 2.809 24.652
V 0.312 -0.439 10.564
V -0.199 0.291 24.651
V 1.865 2.985 3.529
V 1.355 3.714 17.616
```



Record 5
Entry from Alexandria: Y4SeS3 after structural relaxation (GGA-PBE).

Computed properties:
formation energy from raw total energies = -1910 meV per atom
D(E_F) = 4.88 states/eV/cell
final energy = -7.125 eV/atom
polymorph energy (0 for the lowest one) = 0.040 eV/atom

Cell and atoms, written as extended XYZ:
```
8
Lattice="5.607 0.000 0.000 0.000 5.607 0.000 0.000 0.000 5.607" Properties=species:S:1:pos:R:3 pbc="T T T"
Y 0.000 0.000 0.000
Y 0.000 2.804 2.804
Y 2.804 0.000 2.804
Y 2.804 2.804 0.000
Se 2.804 2.804 2.804
S 0.000 0.000 2.804
S 0.000 2.804 0.000
S 2.804 0.000 0.000
```



Record 6
Entry from Alexandria: KCaCr after structural relaxation (GGA-PBE).

Computed properties:
D(E_F) = 2.25 states/eV/cell
final energy = -3.401 eV/atom
energy of formation = 840 meV/atom
polymorph energy (0 for the lowest one) = 0.129 eV/atom

Cell and atoms, written as extended XYZ:
```
3
Lattice="5.866 0.000 0.000 -2.933 5.080 0.000 0.000 0.000 3.621" Properties=species:S:1:pos:R:3 pbc="T T T"
K 0.000 0.000 0.000
Ca 2.933 1.693 1.357
Cr 0.000 3.387 2.576
```



Record 7
Entry from Alexandria: Ti2HPt2 after structural relaxation (GGA-PBE).

Computed properties:
D(E_F) = 7.86 states/eV/cell
final energy = -6.109 eV/atom
polymorph energy (0 for the lowest one) = 0.591 eV/atom

Cell and atoms, written as extended XYZ:
```
10
Lattice="3.719 0.000 0.000 0.000 3.719 0.000 0.000 0.000 12.792" Properties=species:S:1:pos:R:3 pbc="T T T"
Ti 0.000 0.000 1.368
Ti 0.000 0.000 11.423
Ti 1.859 1.859 5.028
Ti 1.859 1.859 7.764
H 0.000 0.000 6.396
H 1.859 1.859 0.000
Pt 0.000 1.859 3.198
Pt 0.000 1.859 9.594
Pt 1.859 0.000 3.198
Pt 1.859 0.000 9.594
```



Record 8
Entry from Alexandria: K5Rb2Hg2 after structural relaxation (GGA-PBE).

Computed properties:
D(E_F) = 5.34 states/eV/cell
final energy = -1.001 eV/atom
energy of formation = -110 meV/atom

Cell and atoms, written as extended XYZ:
```
9
Lattice="9.977 -2.719 0.000 9.977 2.719 0.000 -1.617 0.000 9.683" Properties=species:S:1:pos:R:3 pbc="T T T"
K 0.000 0.000 0.000
K 3.007 0.000 6.080
K 6.590 0.000 0.431
K 11.747 0.000 9.252
K 15.330 0.000 3.603
Rb 7.568 0.000 6.334
Rb 10.769 0.000 3.348
Hg 3.236 0.000 2.128
Hg 15.101 0.000 7.555
```



Record 9
Entry from Alexandria: Ba2PuPdO6 after structural relaxation (GGA-PBE).

Computed properties:
formation energy from raw total energies = -2092 meV per atom
D(E_F) = 4.04 states/eV/cell
final energy = -7.404 eV/atom

Cell and atoms, written as extended XYZ:
```
10
Lattice="5.936 0.000 0.000 -2.968 5.141 0.000 0.000 0.000 5.716" Properties=species:S:1:pos:R:3 pbc="T T T"
Ba 0.000 3.427 1.336
Ba 2.968 1.714 4.379
Pu 0.000 0.000 0.000
Pd 0.000 0.000 2.858
O 0.000 1.649 4.500
O -1.540 4.316 4.500
O 1.428 0.825 1.215
O 1.540 4.316 4.500
O 4.508 0.825 1.215
O 2.968 3.492 1.215
```



Record 10
Entry from Alexandria: Ru2PtW after structural relaxation (GGA-PBE).

Computed properties:
D(E_F) = 3.68 states/eV/cell
final energy = -9.416 eV/atom
energy of formation = -30 meV/atom
polymorph energy (0 for the lowest one) = 0.145 eV/atom

Cell and atoms, written as extended XYZ:
```
4
Lattice="2.754 0.000 0.000 0.000 3.859 0.000 0.000 0.000 5.595" Properties=species:S:1:pos:R:3 pbc="T T T"
Ru 0.000 0.000 1.379
Ru 0.000 0.000 4.216
Pt 1.377 1.930 2.798
W 1.377 1.930 0.000
```



Record 11
Entry from Alexandria: Dy2MgHg after structural relaxation (GGA-PBE).

Computed properties:
D(E_F) = 4.60 states/eV/cell
final energy = -3.055 eV/atom
energy of formation = -280 meV/atom
polymorph energy (0 for the lowest one) = 0.008 eV/atom

Cell and atoms, written as extended XYZ:
```
4
Lattice="3.781 0.000 0.000 0.000 3.781 0.000 0.000 0.000 7.360" Properties=species:S:1:pos:R:3 pbc="T T T"
Dy 0.000 0.000 1.810
Dy 0.000 0.000 5.549
Mg 1.890 1.890 3.680
Hg 1.890 1.890 0.000
```



Record 12
Entry from Alexandria: CaNdHo after structural relaxation (GGA-PBE).

Computed properties:
D(E_F) = 3.88 states/eV/cell
final energy = -3.727 eV/atom
energy of formation = 55 meV/atom
polymorph energy (0 for the lowest one) = 0.020 eV/atom

Cell and atoms, written as extended XYZ:
```
3
Lattice="3.662 0.000 0.000 -1.831 3.171 0.000 0.000 0.000 9.147" Properties=species:S:1:pos:R:3 pbc="T T T"
Ca 0.000 0.000 0.000
Nd 0.000 2.114 5.906
Ho 1.831 1.057 3.111
```



- The lowest D(E_F) belongs to which entry?
  PdCCl2



Repeat the fifth record exactly.
Entry from Alexandria: Y4SeS3 after structural relaxation (GGA-PBE).

Computed properties:
formation energy from raw total energies = -1910 meV per atom
D(E_F) = 4.88 states/eV/cell
final energy = -7.125 eV/atom
polymorph energy (0 for the lowest one) = 0.040 eV/atom

Cell and atoms, written as extended XYZ:
```
8
Lattice="5.607 0.000 0.000 0.000 5.607 0.000 0.000 0.000 5.607" Properties=species:S:1:pos:R:3 pbc="T T T"
Y 0.000 0.000 0.000
Y 0.000 2.804 2.804
Y 2.804 0.000 2.804
Y 2.804 2.804 0.000
Se 2.804 2.804 2.804
S 0.000 0.000 2.804
S 0.000 2.804 0.000
S 2.804 0.000 0.000
```



- Among the records above, which one has the highest D(E_F)?
  Ti4NbV